# 1
{
  "formula": "LaSbBr2",
  "functional": "PBE",
  "state": "optimized geometry",
  "lattice": [[-2.084, -0.367, 4.982], [-5.333, 0.545, 0.750], [-2.993, -4.296, 1.372]],
  "species": ["Sb", "Br", "La", "Br"],
  "fractional_positions": [[0.000, 0.000, 0.000], [0.750, 0.750, 0.750], [0.500, 0.500, 0.500], [0.250, 0.250, 0.250]],
  "space_group": "Fm-3m",
  "relative_energy_mev_per_atom": 394
}

=====

# 2
{
  "formula": "NdTmRuAu",
  "functional": "PBE",
  "state": "optimized geometry",
  "lattice": [[5.006, 0.000, 0.000], [2.503, 4.335, 0.000], [2.503, 1.445, 4.087]],
  "species": ["Tm", "Nd", "Au", "Ru"],
  "fractional_positions": [[0.000, 0.000, 0.000], [0.500, 0.500, 0.500], [0.250, 0.250, 0.250], [0.750, 0.750, 0.750]],
  "delta_e_f_kj_per_mol_fu": -194,
  "space_group": "F-43m"
}

=====

# 3
{
  "formula": "KAuSe",
  "functional": "PBE",
  "state": "optimized geometry",
  "lattice": [[6.395, 0.002, 0.000], [4.025, 4.969, 0.000], [-5.210, -2.486, 2.751]],
  "species": ["Se", "K", "Au"],
  "fractional_positions": [[0.599, 0.599, 0.000], [0.333, 0.333, 0.000], [0.068, 0.068, 0.000]],
  "e_tot_ev_per_atom": -3.001,
  "space_group": "I4mm"
}

=====

# 4
{
  "formula": "Ba2SrTl8",
  "functional": "PBE",
  "state": "optimized geometry",
  "lattice": [[6.111, -0.425, -1.440], [-1.434, 6.349, -2.802], [-0.289, 0.841, 9.690]],
  "species": ["Tl", "Tl", "Sr", "Ba", "Tl", "Tl", "Tl", "Tl", "Tl", "Tl", "Ba"],
  "fractional_positions": [[0.911, 0.645, 0.748], [0.163, 0.897, 0.252], [0.500, 0.000, 0.000], [0.312, 0.312, 0.625], [0.750, 0.511, 0.000], [0.250, 0.489, 0.000], [0.089, 0.355, 0.252], [0.704, 0.204, 0.408], [0.296, 0.796, 0.592], [0.837, 0.103, 0.748], [0.688, 0.688, 0.375]],
  "delta_e_f_kj_per_mol_fu": -260,
  "space_group": "C2/m"
}

=====

# 5
{
  "formula": "Dy3In5Te12",
  "functional": "PBE",
  "state": "optimized geometry",
  "lattice": [[-11.672, -0.931, -9.991], [-5.257, -2.389, 14.268], [6.374, 13.985, -0.845]],
  "species": ["In", "In", "In", "Te", "Te", "Dy", "Te", "In", "Te", "Te", "Te", "In", "Dy", "Dy", "Te", "Te", "In", "In", "In", "Te", "Te", "Te", "In", "Te", "Dy", "Te", "Dy", "Dy", "Dy", "In", "Te", "Te", "Te", "Te", "Te", "In", "In", "Te", "Te", "In", "In", "Dy", "Te", "Te", "In", "Te", "Te", "Te", "In", "Te", "In", "Te", "Te", "Dy", "Te", "Te", "Te", "Te", "In", "Te", "Te", "Te", "Te", "Dy", "Te", "Te", "Te", "Te", "Te", "Te", "In", "Te", "Te", "Te", "In", "Dy", "Te", "Te", "Dy", "Te"],
  "fractional_positions": [[0.000, 0.500, 0.500], [0.500, 0.000, 0.500], [0.375, 0.125, 0.750], [0.327, 0.781, 0.413], [0.367, 0.414, 0.087], [0.375, 0.625, 0.250], [0.953, 0.367, 0.281], [0.000, 0.000, 0.000], [0.867, 0.281, 0.453], [0.633, 0.586, 0.913], [0.587, 0.719, 0.673], [0.250, 0.375, 0.625], [0.125, 0.250, 0.875], [0.625, 0.250, 0.375], [0.281, 0.413, 0.827], [0.867, 0.587, 0.914], [0.000, 0.500, 0.000], [0.750, 0.125, 0.875], [0.875, 0.250, 0.625], [0.413, 0.281, 0.327], [0.219, 0.547, 0.633], [0.586, 0.633, 0.413], [0.750, 0.625, 0.375], [0.087, 0.173, 0.219], [0.625, 0.375, 0.750], [0.453, 0.673, 0.086], [0.125, 0.875, 0.750], [0.875, 0.125, 0.250], [0.250, 0.625, 0.875], [0.500, 0.500, 0.500], [0.414, 0.367, 0.587], [0.633, 0.047, 0.219], [0.173, 0.086, 0.953], [0.133, 0.413, 0.086], [0.086, 0.173, 0.453], [0.125, 0.750, 0.375], [0.250, 0.875, 0.125], [0.413, 0.133, 0.586], [0.827, 0.913, 0.281], [0.125, 0.375, 0.250], [0.375, 0.250, 0.125], [0.375, 0.750, 0.625], [0.673, 0.219, 0.587], [0.367, 0.953, 0.781], [0.500, 0.000, 0.000], [0.414, 0.047, 0.327], [0.827, 0.914, 0.047], [0.781, 0.327, 0.913], [0.500, 0.500, 0.000], [0.719, 0.587, 0.173], [0.000, 0.000, 0.500], [0.781, 0.453, 0.367], [0.133, 0.719, 0.547], [0.750, 0.875, 0.625], [0.281, 0.867, 0.953], [0.914, 0.087, 0.867], [0.453, 0.781, 0.867], [0.953, 0.586, 0.173], [0.625, 0.875, 0.250], [0.219, 0.673, 0.087], [0.547, 0.219, 0.133], [0.047, 0.414, 0.827], [0.173, 0.087, 0.719], [0.250, 0.125, 0.375], [0.586, 0.953, 0.673], [0.087, 0.914, 0.367], [0.086, 0.913, 0.133], [0.913, 0.086, 0.633], [0.719, 0.133, 0.047], [0.327, 0.547, 0.414], [0.625, 0.750, 0.875], [0.547, 0.327, 0.914], [0.673, 0.453, 0.586], [0.914, 0.827, 0.547], [0.875, 0.625, 0.750], [0.750, 0.375, 0.125], [0.047, 0.633, 0.719], [0.913, 0.827, 0.781], [0.875, 0.750, 0.125], [0.587, 0.867, 0.414]],
  "e_tot_ev_per_atom": -3.873,
  "space_group": "Ia-3d"
}

=====

# 6
{
  "formula": "MgTl2CrSi",
  "functional": "PBE",
  "state": "optimized geometry",
  "lattice": [[-0.774, -5.190, -0.922], [4.197, -0.095, -2.990], [2.994, -1.200, 4.240]],
  "species": ["Mg", "Si", "Tl", "Tl", "Cr"],
  "fractional_positions": [[0.000, 0.000, 0.000], [0.500, 0.500, 0.500], [0.000, 0.000, 0.500], [0.500, 0.000, 0.000], [0.000, 0.500, 0.000]],
  "e_tot_ev_per_atom": -3.157,
  "space_group": "P4/mmm"
}

=====

# 7
{
  "formula": "Na4Er3HfSe8",
  "functional": "PBE",
  "state": "optimized geometry",
  "lattice": [[8.073, 0.000, 0.000], [0.000, 8.432, 0.242], [-4.037, -4.033, 5.713]],
  "species": ["Na", "Se", "Se", "Se", "Er", "Se", "Se", "Na", "Se", "Hf", "Na", "Er", "Er", "Se", "Se", "Na"],
  "fractional_positions": [[0.500, 0.000, 0.000], [0.764, 0.275, 0.529], [0.764, 0.275, 0.010], [0.754, 0.725, 0.990], [0.000, 0.500, 0.500], [0.236, 0.725, 0.990], [0.256, 0.269, 0.512], [0.500, 0.000, 0.500], [0.246, 0.275, 0.010], [0.000, 0.500, 0.000], [0.000, 0.000, 0.500], [0.500, 0.500, 0.000], [0.500, 0.500, 0.500], [0.236, 0.725, 0.471], [0.744, 0.731, 0.488], [0.000, 0.000, 0.000]],
  "e_tot_ev_per_atom": -5.121,
  "space_group": "R-3m"
}

=====

# 8
{
  "formula": "ZnPt2Cl",
  "functional": "PBE",
  "state": "optimized geometry",
  "lattice": [[6.325, 0.008, 0.000], [4.299, 4.639, 0.000], [-4.948, -3.155, 2.359]],
  "species": ["Zn", "Pt", "Pt", "Cl"],
  "fractional_positions": [[0.461, 0.461, 0.000], [0.254, 0.754, 0.500], [0.037, 0.037, 0.000], [0.747, 0.247, 0.500]],
  "space_group": "Imm2",
  "relative_energy_mev_per_atom": 230
}

=====

# 9
{
  "formula": "Er2ThSc3",
  "functional": "PBE",
  "state": "optimized geometry",
  "lattice": [[9.248, 0.000, 5.299], [3.429, 5.943, 4.735], [1.450, 0.579, 8.189]],
  "species": ["Th", "Sc", "Er", "Er", "Sc", "Er", "Th", "Sc", "Sc", "Sc", "Er", "Sc"],
  "fractional_positions": [[0.000, 0.500, 0.500], [0.239, 0.011, 0.511], [0.499, 0.251, 0.251], [0.999, 0.751, 0.751], [0.239, 0.511, 0.011], [0.501, 0.749, 0.749], [0.000, 0.000, 0.000], [0.761, 0.489, 0.989], [0.500, 0.750, 0.250], [0.500, 0.250, 0.750], [0.001, 0.249, 0.249], [0.761, 0.989, 0.489]],
  "delta_e_f_kj_per_mol_fu": 333,
  "space_group": "Ibam",
  "relative_energy_mev_per_atom": 531
}

=====

# 10
{
  "formula": "Ba2AcIO8",
  "functional": "PBE",
  "state": "optimized geometry",
  "lattice": [[4.584, -0.135, -0.016], [-0.083, 6.068, 0.028], [-0.017, 0.052, 7.654]],
  "species": ["O", "O", "I", "O", "Ac", "O", "Ba", "Ba", "O", "O", "O", "O"],
  "fractional_positions": [[0.960, 0.211, 0.820], [0.420, 0.099, 0.018], [0.000, 0.000, 0.000], [0.040, 0.789, 0.180], [0.000, 0.000, 0.500], [0.051, 0.786, 0.828], [0.500, 0.505, 0.247], [0.500, 0.495, 0.753], [0.440, 0.241, 0.499], [0.580, 0.901, 0.982], [0.949, 0.214, 0.172], [0.560, 0.759, 0.501]],
  "e_tot_ev_per_atom": -5.783,
  "space_group": "P-1"
}

=====

# 11
{
  "formula": "BaScTc4",
  "functional": "PBE",
  "state": "optimized geometry",
  "lattice": [[3.913, -2.303, 3.035], [2.511, 2.907, 3.882], [-0.925, -1.105, 5.268]],
  "species": ["Ba", "Sc", "Tc", "Tc", "Tc", "Tc"],
  "fractional_positions": [[0.750, 0.750, 0.750], [0.000, 0.000, 0.000], [0.374, 0.374, 0.877], [0.374, 0.877, 0.374], [0.374, 0.374, 0.374], [0.877, 0.374, 0.374]],
  "delta_e_f_kj_per_mol_fu": 267,
  "space_group": "F-43m"
}

=====

# 12
{
  "formula": "CaAlTe",
  "functional": "PBE",
  "state": "optimized geometry",
  "lattice": [[-4.592, -1.988, -1.493], [-0.172, -4.576, -2.511], [-1.920, -4.223, 2.397]],
  "species": ["Te", "Ca", "Al"],
  "fractional_positions": [[0.750, 0.750, 0.750], [0.500, 0.500, 0.500], [0.000, 0.000, 0.000]],
  "space_group": "F-43m",
  "relative_energy_mev_per_atom": 178
}

=====

# 13
{
  "formula": "Be2Mo2Pt",
  "functional": "PBE",
  "state": "optimized geometry",
  "lattice": [[-1.445, 2.189, 5.289], [5.121, -1.943, 2.203], [1.555, 3.118, -0.866]],
  "species": ["Pt", "Mo", "Be", "Pt", "Be", "Mo", "Be", "Be", "Mo", "Mo"],
  "fractional_positions": [[0.000, 0.000, 0.000], [0.335, 0.165, 0.500], [0.129, 0.371, 0.000], [0.500, 0.500, 0.000], [0.871, 0.629, 0.000], [0.165, 0.665, 0.500], [0.629, 0.129, 0.000], [0.371, 0.871, 0.000], [0.835, 0.335, 0.500], [0.665, 0.835, 0.500]],
  "delta_e_f_kj_per_mol_fu": -135,
  "space_group": "P4/mbm"
}

=====

# 14
{
  "formula": "YbMgGa4",
  "functional": "PBE",
  "state": "optimized geometry",
  "lattice": [[4.427, 0.000, 0.000], [-2.214, 3.834, 0.000], [0.000, 0.000, 6.930]],
  "species": ["Ga", "Ga", "Mg", "Ga", "Ga", "Yb"],
  "fractional_positions": [[0.333, 0.667, 0.801], [0.667, 0.333, 0.716], [0.000, 0.000, 0.000], [0.333, 0.667, 0.199], [0.667, 0.333, 0.284], [0.000, 0.000, 0.500]],
  "delta_e_f_kj_per_mol_fu": -231,
  "space_group": "P-6m2"
}

=====

# 15
{
  "formula": "NbCdSeBr2",
  "functional": "PBE",
  "state": "optimized geometry",
  "lattice": [[-5.067, -1.213, 0.791], [0.331, -3.772, -3.665], [1.447, -3.568, 3.802]],
  "species": ["Br", "Cd", "Se", "Nb", "Br"],
  "fractional_positions": [[0.000, 0.500, 0.000], [0.000, 0.000, 0.000], [0.000, 0.000, 0.500], [0.500, 0.500, 0.500], [0.500, 0.000, 0.000]],
  "space_group": "P4/mmm",
  "relative_energy_mev_per_atom": 814
}

=====

# 16
{
  "formula": "Sn2AsPd7",
  "functional": "PBE",
  "state": "optimized geometry",
  "lattice": [[2.996, 0.000, 0.000], [0.000, 9.089, -1.174], [0.000, -5.063, 7.639]],
  "species": ["Pd", "Pd", "Pd", "Sn", "Pd", "Pd", "Pd", "Pd", "Sn", "As"],
  "fractional_positions": [[0.000, 0.205, 0.795], [0.500, 0.901, 0.722], [0.500, 0.500, 0.500], [0.500, 0.664, 0.336], [0.000, 0.795, 0.205], [0.500, 0.099, 0.278], [0.500, 0.278, 0.099], [0.500, 0.722, 0.901], [0.500, 0.336, 0.664], [0.000, 0.000, 0.000]],
  "delta_e_f_kj_per_mol_fu": -124,
  "space_group": "Cmmm"
}

=====

# 17
{
  "formula": "SnSb",
  "functional": "PBE",
  "state": "optimized geometry",
  "lattice": [[4.349, -0.108, -0.083], [1.434, 4.107, -0.083], [1.434, 0.992, 3.986]],
  "species": ["Sn", "Sb"],
  "fractional_positions": [[0.348, 0.348, 0.348], [0.652, 0.652, 0.652]],
  "e_tot_ev_per_atom": -3.941,
  "space_group": "R3m"
}

=====

# 18
{
  "formula": "Ac4InGeI2",
  "functional": "PBE",
  "state": "optimized geometry",
  "lattice": [[-0.033, 1.215, -4.580], [4.665, -6.677, -1.805], [-8.095, -2.100, -0.499]],
  "species": ["Ge", "Ac", "Ac", "I", "I", "In", "Ac", "Ac"],
  "fractional_positions": [[0.000, 0.000, 0.000], [0.000, 0.750, 0.217], [0.500, 0.772, 0.792], [0.500, 0.000, 0.500], [0.000, 0.500, 0.500], [0.500, 0.500, 0.000], [0.500, 0.228, 0.208], [0.000, 0.250, 0.783]],
  "e_tot_ev_per_atom": -4.187,
  "space_group": "P2/m"
}

=====

# 19
{
  "formula": "Ba2RePb",
  "functional": "PBE",
  "state": "optimized geometry",
  "lattice": [[6.103, 0.015, 0.000], [1.578, 5.895, 0.000], [-3.840, -2.955, 3.710]],
  "species": ["Ba", "Pb", "Re", "Ba"],
  "fractional_positions": [[0.500, 0.500, 0.000], [0.250, 0.750, 0.500], [0.750, 0.250, 0.500], [0.000, 0.000, 0.000]],
  "delta_e_f_kj_per_mol_fu": 304,
  "space_group": "I4/mmm"
}

=====

# 20
{
  "formula": "Y2Mn",
  "functional": "PBE",
  "state": "optimized geometry",
  "lattice": [[-3.001, -2.895, -3.116], [5.151, -0.746, 0.080], [-0.345, -2.134, 2.316]],
  "species": ["Mn", "Y", "Y"],
  "fractional_positions": [[0.000, 0.000, 0.000], [0.333, 0.667, 0.500], [0.667, 0.333, 0.500]],
  "delta_e_f_kj_per_mol_fu": 129,
  "space_group": "P6/mmm"
}

=====

Going through the records in order, we get ρ values of 6.23; 11.44; 5.99; 8.66; 6.13; 5.82; 5.88; 11.80; 5.98; 5.90; 8.28; 3.21; 10.75; 6.72; 4.91; 9.23; 5.50; 7.16; 8.32; 5.20 Mg/m³.
Going through the records in order, we get calculated volume values of 28.0; 22.2; 29.1; 34.8; 35.1; 29.3; 24.8; 17.3; 32.5; 17.7; 19.2; 33.6; 12.5; 19.6; 30.1; 19.0; 36.3; 39.1; 33.3; 24.8 A^3/atom.